Entry 1:
## K2PtSe (GGA-PBE)

Data for K2PtSe after structural relaxation.

Lattice parameters (Å, degrees): 10.440 10.440 10.440 18.55 18.55 18.55
Sites, in units of the cell vectors:
K1 0.250 0.250 0.250
K2 0.750 0.750 0.750
Pt1 0.000 0.000 0.000
Se1 0.500 0.500 0.500

The calculation puts the raw formation energy at 0.0 eV per formula unit. As for the density of states at the Fermi level: 0.506 states/eV/atom.

Entry 2:
## SrTlNi2Cl (GGA-PBE)

Data for SrTlNi2Cl after structural relaxation.

Lattice parameters (Å, degrees): 4.536 4.536 5.410 90.00 90.00 90.00
Sites, in units of the cell vectors:
Sr1 0.000 0.000 0.000
Tl1 0.500 0.500 0.000
Ni1 0.000 0.500 0.500
Ni2 0.500 0.000 0.500
Cl1 0.000 0.000 0.500

The calculation puts the raw formation energy at 0.8 eV per formula unit. As for the density of states at the Fermi level: 0.456 states/eV/atom.

Entry 3:
## Al3RuCl (GGA-PBE)

Data for Al3RuCl after structural relaxation.

Lattice parameters (Å, degrees): 4.565 4.565 4.565 90.00 90.00 90.00
Sites, in units of the cell vectors:
Al1 0.000 0.000 0.500
Al2 0.000 0.500 0.000
Al3 0.500 0.000 0.000
Ru1 0.500 0.500 0.500
Cl1 0.000 0.000 0.000

The calculation puts the raw formation energy at 5.1 eV per formula unit. As for the density of states at the Fermi level: 1.147 states/eV/atom. The calculation puts the energy above the lowest structure with this stoichiometry at 1216 meV/atom.